<P>
This record from the Alexandria database describes Zn2BiN after structural relaxation. The functional is PBE-GGA.

DOS at the Fermi energy	0.4083	states/eV/atom
volume	18.25	A^3/atom
total magnetic moment	1.75	μB per cell

CIF file:
```
data_Zn2BiN
_chemical_formula_sum 'Zn2 Bi1 N1'
_cell_length_a 4.6914
_cell_length_b 4.6914
_cell_length_c 4.6914
_cell_angle_alpha 60.00
_cell_angle_beta 60.00
_cell_angle_gamma 60.00
_symmetry_space_group_name_H-M 'P 1'
_symmetry_Int_Tables_number 1
_symmetry_space_group_name_Hall 'P 1'
loop_
_atom_site_label
_atom_site_fract_x
_atom_site_fract_y
_atom_site_fract_z
Zn1 0.2500 0.2500 0.2500
Zn2 0.7500 0.7500 0.7500
Bi1 0.0000 0.0000 0.0000
N1 0.5000 0.5000 0.5000
```


<Q>
This record from the Alexandria database describes Zn2BiN after structural relaxation. The functional is PBE-GGA.

DOS at the Fermi energy	0.2717	states/eV/atom
volume	19.91	A^3/atom
total magnetic moment	0.00	μB per cell

CIF file:
```
data_Zn2BiN
_chemical_formula_sum 'Zn4 Bi2 N2'
_cell_length_a 6.1727
_cell_length_b 6.1727
_cell_length_c 6.1727
_cell_angle_alpha 122.59
_cell_angle_beta 122.59
_cell_angle_gamma 85.58
_symmetry_space_group_name_H-M 'P 1'
_symmetry_Int_Tables_number 1
_symmetry_space_group_name_Hall 'P 1'
loop_
_atom_site_label
_atom_site_fract_x
_atom_site_fract_y
_atom_site_fract_z
Zn1 0.3750 0.2107 0.3357
Zn2 0.7893 0.1250 0.1643
Zn3 0.8750 0.0393 0.6643
Zn4 0.9607 0.6250 0.8357
Bi1 0.2500 0.7500 0.5000
Bi2 0.5000 0.5000 0.0000
N1 0.0000 0.0000 0.0000
N2 0.7500 0.2500 0.5000
```


Computed relative energies in units of kJ/mol of atoms: <P> 97.7; <Q> 0.0


<P>
This record from the Alexandria database describes Zr2BiN after structural relaxation. The functional is PBE-GGA.

DOS at the Fermi energy	0.0344	states/eV/atom
volume	20.86	A^3/atom
total magnetic moment	0.00	μB per cell

CIF file:
```
data_Zr2BiN
_chemical_formula_sum 'Zr4 Bi2 N2'
_cell_length_a 6.0091
_cell_length_b 6.0091
_cell_length_c 6.0091
_cell_angle_alpha 110.49
_cell_angle_beta 110.49
_cell_angle_gamma 107.44
_symmetry_space_group_name_H-M 'P 1'
_symmetry_Int_Tables_number 1
_symmetry_space_group_name_Hall 'P 1'
loop_
_atom_site_label
_atom_site_fract_x
_atom_site_fract_y
_atom_site_fract_z
Zr1 0.0047 0.6250 0.8797
Zr2 0.3750 0.2547 0.3797
Zr3 0.7453 0.1250 0.1203
Zr4 0.8750 0.9953 0.6203
Bi1 0.2500 0.7500 0.5000
Bi2 0.5000 0.5000 0.0000
N1 0.0000 0.0000 0.0000
N2 0.7500 0.2500 0.5000
```


<Q>
This record from the Alexandria database describes Zr2BiN after structural relaxation. The functional is PBE-GGA.

DOS at the Fermi energy	1.2608	states/eV/atom
volume	19.17	A^3/atom
total magnetic moment	0.00	μB per cell

CIF file:
```
data_Zr2BiN
_chemical_formula_sum 'Zr2 Bi1 N1'
_cell_length_a 4.7685
_cell_length_b 4.7685
_cell_length_c 4.7685
_cell_angle_alpha 60.00
_cell_angle_beta 60.00
_cell_angle_gamma 60.00
_symmetry_space_group_name_H-M 'P 1'
_symmetry_Int_Tables_number 1
_symmetry_space_group_name_Hall 'P 1'
loop_
_atom_site_label
_atom_site_fract_x
_atom_site_fract_y
_atom_site_fract_z
Zr1 0.2500 0.2500 0.2500
Zr2 0.7500 0.7500 0.7500
Bi1 0.0000 0.0000 0.0000
N1 0.5000 0.5000 0.5000
```


Computed relative energies in units of kJ/mol of atoms: <P> 0.0; <Q> 108.4